(1)
## PWAu2 (PBE)

Data for a geometry-optimized PWAu2 structure.

The space group is Amm2 (No. 38) and the conventional cell measures 3.019, 3.085 and 14.528 Å, with angles of 90.00, 90.00 and 90.00 degrees. Symmetry generates all atoms from P at (0.000, 0.000, 0.000), W at (0.500, 0.000, 0.418), Au at (0.000, 0.000, 0.783) and Au at (0.500, 0.000, 0.144).

As for the energy of formation from the pure elements: 0.43 eV/f.u. Its calculated total energy is -49.0 eV for the cell shown.


(2)
## CuPRu2 (PBE)

Data for a geometry-optimized CuPRu2 structure.

The space group is P2/m (No. 10) and the conventional cell measures 2.888, 3.605 and 5.284 Å, with angles of 90.00, 104.02 and 90.00 degrees. Symmetry generates all atoms from Cu at (0.000, 0.000, 0.000), P at (0.000, 0.000, 0.500) and Ru at (0.356, 0.500, 0.731).

As for the energy of formation from the pure elements: -0.39 eV/f.u. Its calculated total energy is -28.4 eV for the cell shown.


(3)
## MnAlIn2 (PBE)

Data for a geometry-optimized MnAlIn2 structure.

The space group is I-42d (No. 122) and the conventional cell measures 8.745, 8.745 and 5.050 Å, with angles of 90.00, 90.00 and 90.00 degrees. Symmetry generates all atoms from Mn at (0.000, 0.000, 0.000), Al at (0.000, 0.000, 0.500) and In at (0.162, 0.250, 0.125).

As for the energy of formation from the pure elements: 1.84 eV/f.u. Its calculated total energy is -66.2 eV for the cell shown.


(4)
## CeSm3Hg6 (PBE)

Data for a geometry-optimized CeSm3Hg6 structure.

The space group is P2_1/m (No. 11) and the conventional cell measures 9.415, 5.248 and 11.356 Å, with angles of 90.00, 106.97 and 90.00 degrees. Symmetry generates all atoms from Ce at (0.065, 0.250, 0.384), Sm at (0.228, 0.250, 0.006), Sm at (0.353, 0.750, 0.799), Sm at (0.492, 0.250, 0.614), Hg at (0.062, 0.750, 0.905), Hg at (0.140, 0.750, 0.204), Hg at (0.167, 0.250, 0.687), Hg at (0.243, 0.750, 0.513), Hg at (0.351, 0.250, 0.293) and Hg at (0.464, 0.750, 0.091).

As for the energy of formation from the pure elements: -3.99 eV/f.u. Its calculated total energy is -51.8 eV for the cell shown.


(5)
## RbLaN2 (PBE)

Data for a geometry-optimized RbLaN2 structure.

The space group is I-42d (No. 122) and the conventional cell measures 6.813, 6.813 and 9.005 Å, with angles of 90.00, 90.00 and 90.00 degrees. Symmetry generates all atoms from Rb at (0.000, 0.000, 0.000), La at (0.000, 0.000, 0.500) and N at (0.162, 0.250, 0.625).

Its calculated total energy is -89.2 eV for the cell shown. The formation energy without anion corrections comes out at 0.0631 eV/atom.


(6)
## Ti5MnIr2Pt2 (PBE)

Data for a geometry-optimized Ti5MnIr2Pt2 structure.

The space group is P4/mbm (No. 127) and the conventional cell measures 10.564, 10.564 and 2.901 Å, with angles of 90.00, 90.00 and 90.00 degrees. Symmetry generates all atoms from Ti at (0.000, 0.500, 0.000), Ti at (0.130, 0.150, 0.000), Mn at (0.000, 0.000, 0.500), Ir at (0.146, 0.354, 0.500) and Pt at (0.153, 0.653, 0.500).

As for the energy of formation from the pure elements: -4.75 eV/f.u. Its calculated total energy is -166.4 eV for the cell shown.


(7)
## BaLa5Te8 (PBE)

Data for a geometry-optimized BaLa5Te8 structure.

The space group is I-4 (No. 82) and the conventional cell measures 9.811, 9.811 and 9.764 Å, with angles of 90.00, 90.00 and 90.00 degrees. Symmetry generates all atoms from Ba at (0.000, 0.000, 0.000), La at (0.000, 0.500, 0.250), La at (0.127, 0.251, 0.628), Te at (0.076, 0.178, 0.307) and Te at (0.079, 0.335, 0.950).

Its calculated total energy is -149.0 eV for the cell shown. The formation energy without anion corrections comes out at -1.6285 eV/atom.


(8)
## TbEr4In2 (PBE)

Data for a geometry-optimized TbEr4In2 structure.

The space group is P4_2/mnm (No. 136) and the conventional cell measures 9.333, 9.333 and 4.864 Å, with angles of 90.00, 90.00 and 90.00 degrees. Symmetry generates all atoms from Tb at (0.000, 0.000, 0.000), Er at (0.114, 0.359, 0.500) and In at (0.172, 0.828, 0.500).

As for the energy of formation from the pure elements: -1.01 eV/f.u. Its calculated total energy is -58.7 eV for the cell shown.


Values of volume, in order: 16.9, 13.3, 24.1, 26.8, 26.1, 16.2, 33.6, 30.3, all in Å³ per atom.
Values of magnetic moment, in order: 0.000, 0.000, 12.703, 2.208, 8.000, 0.000, 0.000, 0.010, all in Bohr magnetons per cell.